{"formula": "Rb3SiBi", "functional": "PBE", "state": "optimized geometry", "magnetic_moment_mub_per_cell": 4.0, "sg": "Pm-3m (221)", "e_form_raw_ev_per_atom": 0.440, "volume_a3_per_cell": 298.8, "dft_energy_ev_per_fu": -10.01, "lattice": [[6.686, 0.000, 0.000], [0.000, 6.686, 0.000], [0.000, 0.000, 6.686]], "species": ["Rb", "Rb", "Rb", "Si", "Bi"], "fractional_positions": [[0.000, 0.000, 0.500], [0.500, 0.000, 0.000], [0.000, 0.500, 0.000], [0.000, 0.000, 0.000], [0.500, 0.500, 0.500]]}